(1)
EuNbS3 | GGA-PBE | optimized geometry

CIF file:
```
data_EuNbS3
_cell_length_a 4.8440
_cell_length_b 4.8440
_cell_length_c 4.8440
_cell_angle_alpha 90.00
_cell_angle_beta 90.00
_cell_angle_gamma 90.00
_symmetry_space_group_name_H-M 'P m -3 m'
_symmetry_Int_Tables_number 221
_symmetry_space_group_name_Hall '-P 4 2 3'
loop_
_atom_site_label
_atom_site_type_symbol
_atom_site_fract_x
_atom_site_fract_y
_atom_site_fract_z
Eu1 Eu 0.0000 0.0000 0.0000
Nb1 Nb 0.5000 0.5000 0.5000
S1 S 0.0000 0.5000 0.5000
```

Energy relative to the elements, uncorrected   -598 kJ/mol of formula units
V   22.73 Å³/atom

***

(2)
Cs2Rb6Au2O | GGA-PBE | optimized geometry

CIF file:
```
data_Cs2Rb6Au2O
_cell_length_a 8.6362
_cell_length_b 15.0401
_cell_length_c 10.5638
_cell_angle_alpha 90.00
_cell_angle_beta 90.34
_cell_angle_gamma 90.00
_symmetry_space_group_name_H-M 'C 1 2/m 1'
_symmetry_Int_Tables_number 12
loop_
_symmetry_equiv_pos_as_xyz
'x,y,z'
'-x,-y,-z'
'-x,y,-z'
'x,-y,z'
'x+1/2,y+1/2,z'
'-x+1/2,-y+1/2,-z'
'-x+1/2,y+1/2,-z'
'x+1/2,-y+1/2,z'
loop_
_atom_site_label
_atom_site_type_symbol
_atom_site_fract_x
_atom_site_fract_y
_atom_site_fract_z
Cs1 Cs 0.0000 0.1660 0.0000
Rb1 Rb 0.1341 0.3651 0.3535
Rb2 Rb 0.2276 0.0000 0.3550
Au1 Au 0.0000 0.1674 0.5000
O1 O 0.0000 0.5000 0.5000
```

Energy relative to the elements, uncorrected   -367 kJ/mol of formula units
V   62.37 Å³/atom

***

(3)
KU2Te4 | GGA-PBE | optimized geometry

CIF file:
```
data_KU2Te4
_cell_length_a 4.4123
_cell_length_b 4.4123
_cell_length_c 47.8122
_cell_angle_alpha 90.00
_cell_angle_beta 90.00
_cell_angle_gamma 120.00
_symmetry_space_group_name_H-M 'R -3 m'
_symmetry_Int_Tables_number 166
_symmetry_space_group_name_Hall '-R 3 2"'
loop_
_atom_site_label
_atom_site_type_symbol
_atom_site_fract_x
_atom_site_fract_y
_atom_site_fract_z
K1 K 0.0000 0.0000 0.0000
U1 U 0.0000 0.0000 0.0908
Te1 Te 0.0000 0.0000 0.2073
Te2 Te 0.0000 0.0000 0.3854
```

Energy relative to the elements, uncorrected   -494 kJ/mol of formula units
V   38.39 Å³/atom

***

(4)
Y6Er8Pb | GGA-PBE | optimized geometry

CIF file:
```
data_Y6Er8Pb
_cell_length_a 9.1561
_cell_length_b 9.1561
_cell_length_c 6.7114
_cell_angle_alpha 90.00
_cell_angle_beta 90.00
_cell_angle_gamma 120.00
_symmetry_space_group_name_H-M 'P -3'
_symmetry_Int_Tables_number 147
loop_
_symmetry_equiv_pos_as_xyz
'x,y,z'
'-x,-y,-z'
'-y,x-y,z'
'y,-x+y,-z'
'-x+y,-x,z'
'x-y,x,-z'
loop_
_atom_site_label
_atom_site_type_symbol
_atom_site_fract_x
_atom_site_fract_y
_atom_site_fract_z
Y1 Y 0.0840 0.6839 0.1024
Er1 Er 0.0164 0.3322 0.3939
Er2 Er 0.3333 0.6667 0.6841
Pb1 Pb 0.0000 0.0000 0.0000
```

V   32.48 Å³/atom
DFT formation energy   182 meV/atom